# 1
This record from Alexandria via LeMat-Bulk describes an optimized crystal structure of Be2Os2Pb. The functional is PBE.

Computed properties:
**ρ**: 15.05 g cm⁻³
**ΔH_f (0 K)**: 0.43 eV/atom
**Space group**: P4/mbm, No. 127

Unit cell a=6.603 b=6.603 c=3.066 alpha=90.00 beta=90.00 gamma=90.00
Element x y z (fractional)
Be (0.118, 0.382, 0.000)
Be (0.382, 0.882, 0.000)
Be (0.618, 0.118, 0.000)
Be (0.882, 0.618, 0.000)
Os (0.159, 0.659, 0.500)
Os (0.341, 0.159, 0.500)
Os (0.659, 0.841, 0.500)
Os (0.841, 0.341, 0.500)
Pb (0.000, 0.000, 0.000)
Pb (0.500, 0.500, 0.000)

# 2
This record from Alexandria via LeMat-Bulk describes an optimized crystal structure of BeOs2Pb. The functional is PBE.

Computed properties:
**Energy above the most stable polymorph in this dataset**: 9.87 kcal/mol of atoms
**ρ**: 15.55 g cm⁻³
**ΔH_f (0 K)**: 0.86 eV/atom
**Space group**: Cmmm, No. 65

Unit cell a=2.875 b=2.875 c=8.547 alpha=90.00 beta=90.00 gamma=115.57
Element x y z (fractional)
Be (0.000, 0.000, 0.000)
Os (0.500, 0.500, 0.193)
Os (0.500, 0.500, 0.807)
Pb (0.000, 0.000, 0.500)

# 3
This record from Alexandria via LeMat-Bulk describes an optimized crystal structure of BeOsPb2. The functional is PBE.

Computed properties:
**ρ**: 12.83 g cm⁻³
**ΔH_f (0 K)**: 1.01 eV/atom
**Space group**: C2/m, No. 12

Unit cell a=4.924 b=4.924 c=3.373 alpha=97.84 beta=97.84 gamma=80.87
Element x y z (fractional)
Be (0.000, 0.000, 0.000)
Os (0.500, 0.500, 0.000)
Pb (0.000, 0.500, 0.500)
Pb (0.500, 0.000, 0.500)